# UVCuO6 | the Alexandria database | PBE with a Hubbard U | relaxed
data_UVCuO6
_symmetry_space_group_name_H-M 'P -3 1 c'
_symmetry_Int_Tables_number 163
_symmetry_space_group_name_Hall '-P 3 2c'
_cell_length_a 5.3084
_cell_length_b 5.3084
_cell_length_c 8.9409
_cell_angle_alpha 90.00
_cell_angle_beta 90.00
_cell_angle_gamma 120.00
loop_
_atom_site_label
_atom_site_type_symbol
_atom_site_fract_x
_atom_site_fract_y
_atom_site_fract_z
U1 U 0.3333 0.6667 0.2500
V1 V 0.3333 0.6667 0.7500
Cu1 Cu 0.0000 0.0000 0.0000
O1 O 0.0244 0.3668 0.6341
# Energy, eV/atom: -7.8858
# Calculated density, g/cm³: 6.83
# Size of the total moment, μB per formula unit: 0.0